1.
{
  "formula": "CeDy10Er6",
  "functional": "PBE",
  "state": "optimized geometry",
  "n_ef_per_ev_cell": 26.7,
  "formation_energy_mev_per_atom": 151,
  "total_energy_ev_per_atom": -4.52,
  "total_magnetization_mub_per_cell": 1.1,
  "cell": [[9.591, 0.000, 0.000], [-4.795, 8.306, 0.000], [0.000, 0.000, 6.770]],
  "species": ["Ce", "Dy", "Dy", "Dy", "Dy", "Dy", "Dy", "Dy", "Dy", "Dy", "Dy", "Er", "Er", "Er", "Er", "Er", "Er"],
  "frac_coords": [[0.000, 0.000, 0.000], [0.000, 0.274, 0.684], [0.000, 0.726, 0.316], [0.274, 0.000, 0.684], [0.274, 0.274, 0.316], [0.333, 0.667, 0.000], [0.333, 0.667, 0.500], [0.667, 0.333, 0.000], [0.667, 0.333, 0.500], [0.726, 0.000, 0.316], [0.726, 0.726, 0.684], [0.000, 0.376, 0.196], [0.000, 0.624, 0.804], [0.376, 0.000, 0.196], [0.376, 0.376, 0.804], [0.624, 0.000, 0.804], [0.624, 0.624, 0.196]]
}

2.
{
  "formula": "CeDy5Er",
  "functional": "PBE",
  "state": "optimized geometry",
  "n_ef_per_ev_cell": 15.5,
  "formation_energy_mev_per_atom": 221,
  "total_energy_ev_per_atom": -4.57,
  "total_magnetization_mub_per_cell": 1.5,
  "cell": [[6.185, 0.000, 0.000], [-0.678, 6.419, 0.000], [-0.667, -3.056, 5.675]],
  "species": ["Ce", "Dy", "Dy", "Dy", "Dy", "Dy", "Er"],
  "frac_coords": [[0.000, 0.000, 0.000], [0.000, 0.000, 0.500], [0.270, 0.581, 0.080], [0.499, 0.811, 0.689], [0.501, 0.189, 0.311], [0.730, 0.419, 0.920], [0.000, 0.500, 0.500]]
}

3.
{
  "formula": "CeDy12Er3",
  "functional": "PBE",
  "state": "optimized geometry",
  "n_ef_per_ev_cell": 22.5,
  "formation_energy_mev_per_atom": 31,
  "total_energy_ev_per_atom": -4.65,
  "total_magnetization_mub_per_cell": 0.9,
  "cell": [[5.000, 0.000, 0.000], [0.000, 5.000, 0.000], [0.000, 0.000, 19.984]],
  "species": ["Ce", "Dy", "Dy", "Dy", "Dy", "Dy", "Dy", "Dy", "Dy", "Dy", "Dy", "Dy", "Dy", "Er", "Er", "Er"],
  "frac_coords": [[0.000, 0.000, 0.000], [0.000, 0.500, 0.125], [0.000, 0.500, 0.375], [0.000, 0.500, 0.625], [0.000, 0.500, 0.875], [0.500, 0.000, 0.125], [0.500, 0.000, 0.375], [0.500, 0.000, 0.625], [0.500, 0.000, 0.875], [0.500, 0.500, 0.000], [0.500, 0.500, 0.251], [0.500, 0.500, 0.500], [0.500, 0.500, 0.749], [0.000, 0.000, 0.249], [0.000, 0.000, 0.500], [0.000, 0.000, 0.751]]
}

4.
{
  "formula": "CeDy10Er4",
  "functional": "PBE",
  "state": "optimized geometry",
  "n_ef_per_ev_cell": 21.4,
  "formation_energy_mev_per_atom": 752,
  "total_energy_ev_per_atom": -3.93,
  "total_magnetization_mub_per_cell": 1.9,
  "cell": [[-6.030, 6.030, 3.814], [6.030, -6.030, 3.814], [6.030, 6.030, -3.814]],
  "species": ["Ce", "Dy", "Dy", "Dy", "Dy", "Dy", "Dy", "Dy", "Dy", "Dy", "Dy", "Er", "Er", "Er", "Er"],
  "frac_coords": [[0.000, 0.000, 0.000], [0.050, 0.148, 0.702], [0.148, 0.446, 0.098], [0.250, 0.750, 0.500], [0.348, 0.050, 0.902], [0.446, 0.348, 0.298], [0.554, 0.652, 0.702], [0.652, 0.950, 0.098], [0.750, 0.250, 0.500], [0.852, 0.554, 0.902], [0.950, 0.852, 0.298], [0.199, 0.599, 0.798], [0.401, 0.199, 0.600], [0.599, 0.801, 0.400], [0.801, 0.401, 0.202]]
}

5.
{
  "formula": "Ce4DyEr",
  "functional": "PBE",
  "state": "optimized geometry",
  "n_ef_per_ev_cell": 18.7,
  "formation_energy_mev_per_atom": 210,
  "total_energy_ev_per_atom": -5.27,
  "total_magnetization_mub_per_cell": 4.3,
  "cell": [[0.000, 4.455, 4.455], [4.455, 0.000, 4.455], [4.455, 4.455, 0.000]],
  "species": ["Ce", "Ce", "Ce", "Ce", "Dy", "Er"],
  "frac_coords": [[0.376, 0.376, 0.376], [0.376, 0.376, 0.871], [0.376, 0.871, 0.376], [0.871, 0.376, 0.376], [0.000, 0.000, 0.000], [0.750, 0.750, 0.750]]
}

6.
{
  "formula": "CeDy3Er4",
  "functional": "PBE",
  "state": "optimized geometry",
  "n_ef_per_ev_cell": 13.0,
  "e_above_lowest_polymorph_ev_per_atom": 0.0049,
  "formation_energy_mev_per_atom": 40,
  "total_energy_ev_per_atom": -4.71,
  "total_magnetization_mub_per_cell": 0.7,
  "cell": [[7.041, 0.000, 0.000], [0.000, 3.522, 0.000], [-3.507, 0.000, 9.934]],
  "species": ["Ce", "Dy", "Dy", "Dy", "Er", "Er", "Er", "Er"],
  "frac_coords": [[0.000, 0.000, 0.000], [0.371, 0.500, 0.249], [0.500, 0.000, 0.000], [0.629, 0.500, 0.751], [0.122, 0.500, 0.751], [0.251, 0.000, 0.503], [0.749, 0.000, 0.497], [0.878, 0.500, 0.249]]
}

7.
{
  "formula": "CeDy3Er5",
  "functional": "PBE",
  "state": "optimized geometry",
  "n_ef_per_ev_cell": 34.8,
  "formation_energy_mev_per_atom": 454,
  "total_energy_ev_per_atom": -4.27,
  "total_magnetization_mub_per_cell": 1.9,
  "cell": [[8.296, -3.981, 0.000], [8.296, 3.981, 0.000], [-8.018, 0.000, 9.191]],
  "species": ["Ce", "Ce", "Dy", "Dy", "Dy", "Dy", "Dy", "Dy", "Er", "Er", "Er", "Er", "Er", "Er", "Er", "Er", "Er", "Er"],
  "frac_coords": [[0.235, 0.235, 0.132], [0.765, 0.765, 0.868], [0.000, 0.000, 0.000], [0.177, 0.177, 0.343], [0.384, 0.384, 0.690], [0.500, 0.500, 0.500], [0.616, 0.616, 0.310], [0.823, 0.823, 0.657], [0.125, 0.125, 0.569], [0.139, 0.730, 0.219], [0.270, 0.861, 0.781], [0.301, 0.301, 0.934], [0.320, 0.680, 0.000], [0.680, 0.320, 0.000], [0.699, 0.699, 0.066], [0.730, 0.139, 0.219], [0.861, 0.270, 0.781], [0.875, 0.875, 0.431]]
}

8.
{
  "formula": "Ce2Dy5Er4",
  "functional": "PBE",
  "state": "optimized geometry",
  "n_ef_per_ev_cell": 22.1,
  "formation_energy_mev_per_atom": 106,
  "total_energy_ev_per_atom": -4.72,
  "total_magnetization_mub_per_cell": 1.6,
  "cell": [[3.476, 0.000, 0.000], [0.001, 8.667, 0.000], [1.737, 1.386, 11.374]],
  "species": ["Ce", "Ce", "Dy", "Dy", "Dy", "Dy", "Dy", "Er", "Er", "Er", "Er"],
  "frac_coords": [[0.187, 0.437, 0.126], [0.813, 0.563, 0.874], [0.037, 0.349, 0.426], [0.237, 0.821, 0.027], [0.500, 0.000, 0.500], [0.763, 0.179, 0.973], [0.963, 0.651, 0.574], [0.131, 0.055, 0.239], [0.401, 0.300, 0.699], [0.599, 0.700, 0.301], [0.869, 0.945, 0.761]]
}

9.
{
  "formula": "Ce2DyEr",
  "functional": "PBE",
  "state": "optimized geometry",
  "n_ef_per_ev_cell": 10.2,
  "e_above_lowest_polymorph_ev_per_atom": 0.0038,
  "formation_energy_mev_per_atom": 90,
  "total_energy_ev_per_atom": -5.17,
  "total_magnetization_mub_per_cell": 1.4,
  "cell": [[1.737, 1.003, 11.478], [-1.737, 1.003, 11.478], [0.000, -2.006, 11.478]],
  "species": ["Ce", "Ce", "Dy", "Er"],
  "frac_coords": [[0.000, 0.000, 0.000], [0.165, 0.165, 0.165], [0.584, 0.584, 0.584], [0.415, 0.415, 0.415]]
}

10.
{
  "formula": "CeDy2Er",
  "functional": "PBE",
  "state": "optimized geometry",
  "n_ef_per_ev_cell": 11.6,
  "e_above_lowest_polymorph_ev_per_atom": 0.1277,
  "formation_energy_mev_per_atom": 183,
  "total_energy_ev_per_atom": -4.74,
  "total_magnetization_mub_per_cell": 1.9,
  "cell": [[0.000, 3.988, 3.988], [3.988, 0.000, 3.988], [3.988, 3.988, 0.000]],
  "species": ["Ce", "Dy", "Dy", "Er"],
  "frac_coords": [[0.000, 0.000, 0.000], [0.250, 0.250, 0.250], [0.750, 0.750, 0.750], [0.500, 0.500, 0.500]]
}

11.
{
  "formula": "CeDyHoEr2",
  "functional": "PBE",
  "state": "optimized geometry",
  "n_ef_per_ev_cell": 22.2,
  "formation_energy_mev_per_atom": 316,
  "total_energy_ev_per_atom": -4.53,
  "total_magnetization_mub_per_cell": 0.0,
  "cell": [[5.720, 0.000, 0.000], [0.000, 7.371, 0.000], [0.000, 0.000, 7.448]],
  "species": ["Ce", "Ce", "Dy", "Dy", "Ho", "Ho", "Er", "Er", "Er", "Er"],
  "frac_coords": [[0.000, 0.000, 0.000], [0.500, 0.000, 0.000], [0.250, 0.500, 0.151], [0.750, 0.500, 0.849], [0.250, 0.000, 0.375], [0.750, 0.000, 0.625], [0.250, 0.286, 0.674], [0.250, 0.714, 0.674], [0.750, 0.286, 0.326], [0.750, 0.714, 0.326]]
}

> Number 5 is which compound?

Ce4DyEr